# SrCaSc2Co

SrCaSc2Co after structural relaxation (PBE-GGA, Alexandria).

The structure in POSCAR format:
```
SrCaSc2Co
1.0
5.000 0.000 0.000
0.000 5.000 0.000
0.000 0.000 5.664
Sr Ca Sc Co
1 1 2 1
direct
0.000 0.000 0.000 Sr
0.500 0.500 0.000 Ca
0.000 0.500 0.500 Sc
0.500 0.000 0.500 Sc
0.500 0.500 0.500 Co
```

## Properties
DFT formation energy in eV per atom: 0.030
E in Ry per atom: -0.343
Space-group type: P4/mmm, No. 123

***

# CaSc2CoTc

CaSc2CoTc after structural relaxation (PBE-GGA, Alexandria).

The structure in POSCAR format:
```
CaSc2CoTc
1.0
5.027 0.000 0.000
0.000 5.027 0.000
0.000 0.000 4.573
Ca Sc Co Tc
1 2 1 1
direct
0.000 0.000 0.000 Ca
0.000 0.500 0.500 Sc
0.500 0.000 0.500 Sc
0.500 0.500 0.000 Co
0.500 0.500 0.500 Tc
```

## Properties
DFT formation energy in eV per atom: 0.297
E in Ry per atom: -0.451
Space-group type: P4/mmm, No. 123

***

# CaSc2CoTc

CaSc2CoTc after structural relaxation (PBE-GGA, Alexandria).

The structure in POSCAR format:
```
CaSc2CoTc
1.0
4.754 0.000 0.000
0.000 4.754 0.000
0.000 0.000 5.072
Ca Sc Co Tc
1 2 1 1
direct
0.000 0.000 0.000 Ca
0.000 0.500 0.500 Sc
0.500 0.000 0.500 Sc
0.000 0.000 0.500 Co
0.500 0.500 0.000 Tc
```

## Properties
DFT formation energy in eV per atom: 0.581
E in Ry per atom: -0.430
Space-group type: P4/mmm, No. 123

***

# CaY2ScCo

CaY2ScCo after structural relaxation (PBE-GGA, Alexandria).

The structure in POSCAR format:
```
CaY2ScCo
1.0
5.361 0.000 0.000
0.000 5.361 0.000
0.000 0.000 4.969
Ca Y Sc Co
1 2 1 1
direct
0.000 0.000 0.000 Ca
0.000 0.500 0.500 Y
0.500 0.000 0.500 Y
0.500 0.500 0.000 Sc
0.500 0.500 0.500 Co
```

## Properties
DFT formation energy in eV per atom: -0.049
E in Ry per atom: -0.421
Space-group type: P4/mmm, No. 123

***

# CaCoSe2

CaCoSe2 after structural relaxation (PBE-GGA, Alexandria).

The structure in POSCAR format:
```
CaCoSe2
1.0
0.000 3.434 3.434
3.434 0.000 3.434
3.434 3.434 0.000
Ca Co Se
1 1 2
direct
0.000 0.000 0.000 Ca
0.250 0.250 0.250 Co
0.500 0.500 0.500 Se
0.750 0.750 0.750 Se
```

## Properties
Energy relative to the elements, uncorrected in eV per atom: 0.0347
E in Ry per atom: -0.293
Space-group type: F-43m, No. 216

***

# CaCoSe2

CaCoSe2 after structural relaxation (PBE-GGA, Alexandria).

The structure in POSCAR format:
```
CaCoSe2
1.0
-1.932 1.932 5.869
1.932 -1.932 5.869
1.932 1.932 -5.869
Ca Co Se
1 1 2
direct
0.000 0.000 0.000 Ca
0.750 0.250 0.500 Co
0.250 0.750 0.500 Se
0.500 0.500 0.000 Se
```

## Properties
Energy relative to the elements, uncorrected in eV per atom: -0.3916
E in Ry per atom: -0.324
Space-group type: I-4m2, No. 119

***

# CaCoSe2

CaCoSe2 after structural relaxation (PBE-GGA, Alexandria).

The structure in POSCAR format:
```
CaCoSe2
1.0
1.848 1.067 8.069
-1.848 1.067 8.069
0.000 -2.134 8.069
Ca Co Se
1 1 2
direct
0.000 0.000 0.000 Ca
0.500 0.500 0.500 Co
0.118 0.118 0.118 Se
0.882 0.882 0.882 Se
```

## Properties
Energy relative to the elements, uncorrected in eV per atom: -0.3810
E in Ry per atom: -0.323
Space-group type: R-3m, No. 166

***

# CaCoSe2

CaCoSe2 after structural relaxation (PBE-GGA, Alexandria).

The structure in POSCAR format:
```
CaCoSe2
1.0
0.000 3.415 3.415
3.415 0.000 3.415
3.415 3.415 0.000
Ca Co Se
1 1 2
direct
0.000 0.000 0.000 Ca
0.500 0.500 0.500 Co
0.250 0.250 0.250 Se
0.750 0.750 0.750 Se
```

## Properties
Energy relative to the elements, uncorrected in eV per atom: -0.5106
E in Ry per atom: -0.333
Space-group type: Fm-3m, No. 225